1.
First-principles (PBE) data for a relaxed Dy7Zn2Sn2 crystal, as listed in Alexandria.

Structure (CIF):
```
data_Dy7Zn2Sn2
_chemical_formula_sum 'Dy14 Zn4 Sn4'
_cell_length_a 7.9681
_cell_length_b 11.1602
_cell_length_c 7.2203
_cell_angle_alpha 90.00
_cell_angle_beta 90.00
_cell_angle_gamma 90.00
_symmetry_space_group_name_H-M 'C m m m'
_symmetry_Int_Tables_number 65
_symmetry_space_group_name_Hall '-C 2 2'
loop_
_atom_site_label
_atom_site_fract_x
_atom_site_fract_y
_atom_site_fract_z
Dy1 0.0000 0.0000 0.0000
Dy2 0.0000 0.5000 0.2391
Dy3 0.2500 0.2500 0.2727
Zn1 0.0000 0.2872 0.0000
Sn1 0.1819 0.0000 0.5000
```

## Properties
crystal system: orthorhombic

2.
First-principles (PBE) data for a relaxed Eu2HoCd crystal, as listed in Alexandria.

Structure (CIF):
```
data_Eu2HoCd
_chemical_formula_sum 'Eu6 Ho3 Cd3'
_cell_length_a 3.5604
_cell_length_b 3.5604
_cell_length_c 36.8289
_cell_angle_alpha 90.00
_cell_angle_beta 90.00
_cell_angle_gamma 120.00
_symmetry_space_group_name_H-M 'R -3 m'
_symmetry_Int_Tables_number 166
_symmetry_space_group_name_Hall '-R 3 2"'
loop_
_atom_site_label
_atom_site_fract_x
_atom_site_fract_y
_atom_site_fract_z
Eu1 0.0000 0.0000 0.0929
Ho1 0.0000 0.0000 0.0000
Cd1 0.0000 0.0000 0.5000
```

## Properties
offset from the most stable computed form: 0.2335 eV per atom
crystal system: trigonal

What formation enthalpy at 0 K values result from the calculations? In sequence: -0.132 0.150 eV/atom.